Compound: MgMn2BO
Source: Alexandria
Functional: GGA+U
Structure: relaxed

```
5
Lattice="4.164 0.000 0.000 0.000 4.164 0.000 0.000 0.000 4.411" Properties=species:S:1:pos:R:3 pbc="T T T"
Mg 0.000 0.000 0.000
Mn 0.000 2.082 2.205
Mn 2.082 0.000 2.205
B 2.082 2.082 2.205
O 2.082 2.082 0.000
```

The polymorph energy (0 for the lowest one) is 0.241 eV per atom. Its space group is P4/mmm, No. 123.



Compound: Mg2MnB2O6
Source: Alexandria
Functional: GGA+U
Structure: relaxed

```
11
Lattice="5.039 0.000 0.000 -2.519 4.364 0.000 0.000 0.000 5.654" Properties=species:S:1:pos:R:3 pbc="T T T"
Mg 0.000 2.909 1.839
Mg 2.519 1.455 3.816
Mn 0.000 0.000 0.000
B 0.000 2.909 4.387
B 2.519 1.455 1.267
O -1.382 2.957 4.316
O 0.649 1.688 4.316
O 1.786 0.281 1.338
O 0.733 4.082 4.316
O 1.870 2.676 1.338
O 3.902 1.406 1.338
```

Its space group is P-3, No. 147. For the calculated total energy, the calculation gives -7.188 eV per atom.



Compound: MgMn2B8O14
Source: Alexandria
Functional: GGA+U
Structure: relaxed

```
25
Lattice="6.399 0.000 0.000 0.000 5.156 0.000 -1.925 0.000 8.659" Properties=species:S:1:pos:R:3 pbc="T T T"
Mg 0.000 0.000 0.000
Mn 0.382 0.000 2.878
Mn 2.654 2.578 6.355
B -0.470 2.578 3.827
B -0.376 1.368 6.017
B -0.376 3.788 6.017
B 1.721 2.578 2.790
B 1.574 0.000 6.885
B 3.675 1.232 3.562
B 3.675 3.924 3.562
B 3.775 0.000 5.778
O -1.170 0.000 6.357
O -1.014 2.578 6.530
O -0.152 1.388 4.600
O -0.152 3.769 4.600
O 0.345 2.578 2.598
O 0.956 1.199 6.736
O 0.956 3.958 6.736
O 2.360 1.381 2.920
O 2.360 3.775 2.920
O 2.971 0.000 7.105
O 3.455 1.176 5.052
O 3.455 3.981 5.052
O 4.326 0.000 3.120
O 4.463 2.578 3.341
```

The polymorph energy (0 for the lowest one) is 0.000 eV per atom. Its space group is Pm, No. 6.